1.
This record from Alexandria via LeMat-Bulk describes a geometry-optimized TcSbPb2 structure. The functional is PBE.

Cell and atoms, written as POSCAR:
```
TcSbPb2
1.0
-0.719 1.447 3.830
-4.531 -1.354 -0.339
1.222 -4.579 1.959
Pb Sb Tc
2 1 1
Cartesian
0.000 0.000 0.000
-2.625 0.046 1.745
0.251 -1.566 2.895
-1.655 -2.966 0.810
```

Values from the calculation:
Formation energy without anion corrections = 0.693 eV per atom
SG = No. 47

---

2.
This record from Alexandria via LeMat-Bulk describes a geometry-optimized Nd3YIn2 structure. The functional is PBE.

Cell and atoms, written as POSCAR:
```
Nd3YIn2
1.0
5.328 0.000 0.000
0.000 6.866 0.000
0.000 0.000 10.085
Nd Y In
6 2 4
Cartesian
0.000 3.201 9.713
0.000 6.634 0.372
2.664 4.767 1.825
2.664 1.334 8.260
0.000 2.108 3.283
0.000 5.541 6.802
2.664 3.642 5.437
2.664 0.209 4.648
2.664 4.888 8.606
2.664 1.455 1.479
0.000 1.992 6.482
0.000 5.425 3.603
```

Values from the calculation:
ΔE_f = -0.358 eV per atom
SG = No. 26
Energy above the most stable polymorph in this dataset = 0.0000 eV/atom

---

3.
This record from Alexandria via LeMat-Bulk describes a geometry-optimized Th6TcC2Se3 structure. The functional is PBE.

Cell and atoms, written as POSCAR:
```
Th6TcC2Se3
1.0
3.953 0.000 0.000
0.000 8.469 -0.013
-1.977 -2.759 8.649
Th Tc C Se
6 1 2 3
Cartesian
0.000 5.595 5.818
1.977 3.742 3.090
1.977 0.116 2.818
0.000 1.965 0.287
1.977 3.745 8.349
0.000 1.968 5.546
1.977 0.000 0.000
1.977 3.795 5.706
0.000 1.915 2.930
1.977 4.235 -0.006
1.977 -0.414 5.800
0.000 6.125 2.836
```

Values from the calculation:
Formation energy without anion corrections = -0.944 eV per atom
SG = No. 12

---

4.
This record from Alexandria via LeMat-Bulk describes a geometry-optimized PuPaZnCu structure. The functional is PBE.

Cell and atoms, written as POSCAR:
```
PuPaZnCu
1.0
-3.661 -3.100 0.116
-0.002 -3.591 3.182
-3.077 0.058 3.681
Zn Pa Cu Pu
1 1 1 1
Cartesian
0.000 0.000 0.000
-3.370 -3.317 3.490
-5.055 -4.975 5.235
-1.685 -1.658 1.745
```

Values from the calculation:
ΔE_f = 0.107 eV per atom
SG = No. 216

---

5.
This record from Alexandria via LeMat-Bulk describes a geometry-optimized LaGdSi2 structure. The functional is PBE.

Cell and atoms, written as POSCAR:
```
LaGdSi2
1.0
-1.423 4.203 1.635
-4.231 1.710 -1.240
-4.087 -0.417 4.352
Si Gd La
2 1 1
Cartesian
-2.363 1.452 1.049
-7.378 4.044 3.698
0.000 0.000 0.000
-4.871 2.748 2.373
```

Values from the calculation:
Formation energy without anion corrections = -0.466 eV per atom
SG = No. 166

---

6.
This record from Alexandria via LeMat-Bulk describes a geometry-optimized RbZrI2 structure. The functional is PBE.

Cell and atoms, written as POSCAR:
```
RbZrI2
1.0
7.117 0.000 0.000
0.000 7.117 0.000
3.558 3.558 8.105
I Rb Zr
4 2 2
Cartesian
5.947 1.779 2.026
1.170 5.337 2.026
5.337 4.728 6.079
8.896 9.505 6.079
3.558 3.558 0.000
3.558 7.117 4.053
0.000 0.000 0.000
7.117 3.558 4.053
```

Values from the calculation:
Formation energy without anion corrections = -0.299 eV per atom
SG = No. 122
Energy above the most stable polymorph in this dataset = 0.0000 eV/atom

---

7.
This record from Alexandria via LeMat-Bulk describes a geometry-optimized NaCa2W structure. The functional is PBE.

Cell and atoms, written as POSCAR:
```
NaCa2W
1.0
3.493 -3.191 -2.643
-1.329 -5.135 -1.113
-1.022 -1.488 -5.110
Na Ca W
1 2 1
Cartesian
0.000 0.000 0.000
0.285 -2.453 -2.217
0.856 -7.360 -6.650
0.571 -4.907 -4.433
```

Values from the calculation:
ΔE_f = 0.953 eV per atom
SG = No. 225
Energy above the most stable polymorph in this dataset = 0.0000 eV/atom

---

8.
This record from Alexandria via LeMat-Bulk describes a geometry-optimized Zn2HgBTe structure. The functional is PBE.

Cell and atoms, written as POSCAR:
```
Zn2HgBTe
1.0
-2.392 -0.236 -4.762
3.335 -4.906 -1.433
-3.772 -3.164 2.052
Zn Te Hg B
2 1 1 1
Cartesian
-1.886 -1.582 1.026
-1.196 -0.118 -2.381
0.000 0.000 0.000
1.668 -2.453 -0.716
-1.415 -4.153 -2.071
```

Values from the calculation:
Formation energy without anion corrections = 1.434 eV per atom
SG = No. 123

---

9.
This record from Alexandria via LeMat-Bulk describes a geometry-optimized HfPaMo4 structure. The functional is PBE.

Cell and atoms, written as POSCAR:
```
HfPaMo4
1.0
-2.478 -2.491 -4.159
2.955 -2.535 -3.806
-0.025 -5.437 -0.292
Mo Pa Hf
4 1 1
Cartesian
0.295 -3.823 -5.014
-1.193 -5.272 -3.259
0.282 -6.538 -5.160
1.520 -5.294 -3.083
0.113 -2.616 -2.064
0.000 0.000 0.000
```

Values from the calculation:
ΔE_f = 0.050 eV per atom
SG = No. 216

---

10.
This record from Alexandria via LeMat-Bulk describes a geometry-optimized Tb2Nd3Cd structure. The functional is PBE.

Cell and atoms, written as POSCAR:
```
Tb2Nd3Cd
1.0
-4.262 4.087 9.837
-1.161 -5.744 1.884
5.437 2.584 1.282
Tb Nd Cd
4 6 2
Cartesian
-0.535 3.311 8.023
3.046 0.195 4.178
0.808 -2.630 4.383
-2.774 0.485 8.227
2.381 3.174 5.997
0.251 5.217 10.917
0.136 0.340 6.202
-1.994 2.383 11.121
-4.239 -0.451 11.326
-2.109 -2.494 6.407
0.474 0.325 9.700
-0.201 0.355 2.704
```

Values from the calculation:
ΔE_f = -0.026 eV per atom
SG = No. 63
Energy above the most stable polymorph in this dataset = 0.0632 eV/atom

---

11.
This record from Alexandria via LeMat-Bulk describes a geometry-optimized Ta2CrH2 structure. The functional is PBE.

Cell and atoms, written as POSCAR:
```
Ta2CrH2
1.0
6.616 0.000 0.000
0.000 6.616 0.000
0.000 0.000 2.686
Cr H Ta
2 4 4
Cartesian
0.000 0.000 0.000
3.308 3.308 0.000
0.699 4.007 1.343
4.007 5.917 1.343
5.917 2.609 1.343
2.609 0.699 1.343
2.338 5.646 0.000
5.646 4.279 0.000
4.279 0.971 0.000
0.971 2.338 0.000
```

Values from the calculation:
SG = No. 127
Energy above the most stable polymorph in this dataset = 0.8722 eV/atom

---

12.
This record from Alexandria via LeMat-Bulk describes a geometry-optimized DyCuP structure. The functional is PBE.

Cell and atoms, written as POSCAR:
```
DyCuP
1.0
3.925 0.000 0.000
0.000 3.943 0.000
0.000 -1.971 3.415
P Cu Dy
1 1 1
Cartesian
0.654 0.000 0.000
0.654 1.971 1.138
2.616 0.000 2.276
```

Values from the calculation:
ΔE_f = -1.008 eV per atom
SG = No. 187

---

13.
This record from Alexandria via LeMat-Bulk describes a geometry-optimized TlZnInCl4 structure. The functional is PBE.

Cell and atoms, written as POSCAR:
```
TlZnInCl4
1.0
-3.156 5.804 2.588
-5.736 -1.284 -4.116
-2.165 -7.096 5.231
Tl Zn In Cl
2 2 2 8
Cartesian
-7.787 0.356 1.358
-3.270 -2.933 2.345
-5.619 -1.723 -1.014
-5.438 -0.854 4.718
-8.624 -3.363 3.686
-2.433 0.787 0.017
-7.690 -0.390 4.596
-6.224 -2.826 -2.943
-3.367 -2.187 -0.893
-4.833 0.249 6.646
-5.972 0.515 -1.221
-5.085 -3.092 4.924
-6.701 -2.628 0.777
-4.356 0.051 2.927
```

Values from the calculation:
Formation energy without anion corrections = -1.035 eV per atom
SG = No. 11

---

14.
This record from Alexandria via LeMat-Bulk describes a geometry-optimized BeCrMo structure. The functional is PBE.

Cell and atoms, written as POSCAR:
```
BeCrMo
1.0
-1.605 -2.818 2.535
2.928 -1.077 -2.685
1.783 0.539 1.728
Cr Mo Be
1 1 1
Cartesian
0.519 -2.052 1.388
2.550 -1.314 0.153
0.037 0.011 0.036
```

Values from the calculation:
ΔE_f = 0.102 eV per atom
SG = No. 156
Energy above the most stable polymorph in this dataset = 0.0352 eV/atom

---

15.
This record from Alexandria via LeMat-Bulk describes a geometry-optimized Al2SiSbS structure. The functional is PBE.

Cell and atoms, written as POSCAR:
```
Al2SiSbS
1.0
4.837 0.000 0.000
0.000 5.209 0.000
0.000 0.000 4.837
Sb S Si Al
1 1 1 2
Cartesian
0.000 2.604 0.000
2.418 2.604 2.418
0.000 0.000 0.000
0.000 0.000 2.418
2.418 0.000 0.000
```

Values from the calculation:
Formation energy without anion corrections = 0.604 eV per atom
SG = No. 123

---

16.
This record from Alexandria via LeMat-Bulk describes a geometry-optimized AcTbCuSe4 structure. The functional is PBE.

Cell and atoms, written as POSCAR:
```
AcTbCuSe4
1.0
7.141 0.000 0.115
0.000 6.009 0.000
-2.650 0.000 8.110
Ac Tb Cu Se
2 2 2 8
Cartesian
2.829 4.507 7.661
1.661 1.502 0.565
4.035 4.507 3.612
0.455 1.502 4.613
0.968 4.507 2.582
3.522 1.502 5.643
-1.828 3.065 5.954
6.319 0.061 2.271
6.319 2.944 2.271
-1.828 5.948 5.954
2.760 4.507 0.998
1.730 1.502 7.227
1.469 4.507 4.923
3.021 1.502 3.302
```

Values from the calculation:
Formation energy without anion corrections = -1.428 eV per atom
SG = No. 11

---

17.
This record from Alexandria via LeMat-Bulk describes a geometry-optimized GdPu2Zn structure. The functional is PBE.

Cell and atoms, written as POSCAR:
```
GdPu2Zn
1.0
3.293 0.000 0.000
1.646 2.852 0.000
1.646 0.951 11.929
Zn Gd Pu
1 1 2
Cartesian
0.000 0.000 0.000
3.293 1.901 5.965
1.646 0.951 8.913
4.939 2.852 3.017
```

Values from the calculation:
ΔE_f = 0.434 eV per atom
SG = No. 166

---

18.
This record from Alexandria via LeMat-Bulk describes a geometry-optimized TaTeMo2 structure. The functional is PBE.

Cell and atoms, written as POSCAR:
```
TaTeMo2
1.0
3.273 0.000 0.000
0.000 3.273 0.000
0.000 0.000 6.779
Mo Ta Te
2 1 1
Cartesian
0.000 0.000 0.201
1.636 1.636 1.626
0.000 0.000 3.246
1.636 1.636 5.095
```

Values from the calculation:
Formation energy without anion corrections = 0.248 eV per atom
SG = No. 99

---

19.
This record from Alexandria via LeMat-Bulk describes a geometry-optimized Sr2HgAs2 structure. The functional is PBE.

Cell and atoms, written as POSCAR:
```
Sr2HgAs2
1.0
-3.870 -0.379 1.111
1.130 -2.237 3.174
-0.659 6.206 7.185
Sr As Hg
2 2 1
Cartesian
-1.208 0.407 3.294
-2.191 3.183 8.176
-2.950 2.260 5.219
-0.449 1.331 6.251
0.000 0.000 0.000
```

Values from the calculation:
ΔE_f = -0.549 eV per atom
SG = No. 139

---

20.
This record from Alexandria via LeMat-Bulk describes a geometry-optimized LiCuIO2 structure. The functional is PBE.

Cell and atoms, written as POSCAR:
```
LiCuIO2
1.0
-3.752 0.387 -0.237
-0.049 -2.310 -2.991
-0.772 -5.072 3.930
I O Cu Li
1 2 1 1
Cartesian
-0.386 -2.536 1.965
-0.024 -1.155 -1.495
-1.876 0.193 -0.119
0.000 0.000 0.000
-2.286 -3.498 0.351
```

Values from the calculation:
Formation energy without anion corrections = -0.235 eV per atom
SG = No. 123
Energy above the most stable polymorph in this dataset = 0.0000 eV/atom

---

21.
This record from Alexandria via LeMat-Bulk describes a geometry-optimized Pm4CuCl5 structure. The functional is PBE.

Cell and atoms, written as POSCAR:
```
Pm4CuCl5
1.0
3.848 0.000 -0.905
-0.534 8.079 -2.273
0.119 0.526 9.144
Pm Cu Cl
4 1 5
Cartesian
2.534 0.811 2.142
-0.117 1.891 -0.496
0.899 7.794 3.825
3.550 6.714 6.463
1.924 0.000 -0.452
0.510 2.795 2.172
0.247 6.911 1.053
3.186 1.694 4.914
1.657 4.040 -1.589
2.923 5.810 3.795
```

Values from the calculation:
Formation energy without anion corrections = -1.542 eV per atom
SG = No. 12

---

22.
This record from Alexandria via LeMat-Bulk describes a geometry-optimized LaTbZnSi structure. The functional is PBE.

Cell and atoms, written as POSCAR:
```
LaTbZnSi
1.0
-2.194 2.120 -4.125
-5.109 -0.006 -0.476
-2.624 4.385 0.459
Zn Tb Si La
1 1 1 1
Cartesian
-4.964 3.250 -2.071
-7.445 4.875 -3.107
0.000 0.000 0.000
-2.482 1.625 -1.036
```

Values from the calculation:
Formation energy without anion corrections = -0.455 eV per atom
SG = No. 216
Energy above the most stable polymorph in this dataset = 0.0737 eV/atom

---

23.
This record from Alexandria via LeMat-Bulk describes a geometry-optimized Tb4Sm2Sc5 structure. The functional is PBE.

Cell and atoms, written as POSCAR:
```
Tb4Sm2Sc5
1.0
-2.114 2.512 0.495
-6.443 -5.181 -1.218
1.682 -2.991 11.216
Tb Sm Sc
4 2 5
Cartesian
-3.892 -1.831 3.804
-4.682 -3.685 9.834
-2.983 -3.829 6.689
-2.193 -1.975 0.659
-4.745 -4.219 1.142
-2.130 -1.441 9.351
-5.087 -5.134 4.329
-1.788 -0.526 6.165
-0.581 -1.124 3.221
-1.057 1.256 0.248
-6.294 -4.536 7.272
```

Values from the calculation:
ΔE_f = 0.175 eV per atom
SG = No. 12
Energy above the most stable polymorph in this dataset = 0.0365 eV/atom

---

24.
This record from Alexandria via LeMat-Bulk describes a geometry-optimized Tb2Tl2In structure. The functional is PBE.

Cell and atoms, written as POSCAR:
```
Tb2Tl2In
1.0
6.303 -1.004 0.000
-3.411 5.394 0.000
-1.446 -2.195 10.290
Tb Tl In
4 4 2
Cartesian
-0.215 1.715 5.145
-1.921 4.412 0.000
-3.196 3.679 5.145
4.812 -0.022 0.000
-1.576 0.251 7.718
2.299 0.846 2.573
1.576 -0.251 7.718
0.593 3.544 2.573
3.151 -0.502 5.145
1.446 2.195 0.000
```

Values from the calculation:
ΔE_f = 0.035 eV per atom
SG = No. 70
Energy above the most stable polymorph in this dataset = 0.3410 eV/atom

---

25.
This record from Alexandria via LeMat-Bulk describes a geometry-optimized Te5P2Pb2 structure. The functional is PBE.

Cell and atoms, written as POSCAR:
```
Te5P2Pb2
1.0
4.206 0.000 0.000
-2.103 3.643 0.000
0.000 0.000 18.089
P Pb Te
2 2 5
Cartesian
2.103 1.214 1.639
0.000 2.428 16.450
2.103 3.643 5.764
0.000 0.000 12.324
0.000 0.000 0.000
2.103 1.214 15.013
0.000 2.428 3.075
2.103 1.214 7.529
0.000 2.429 10.559
```

Values from the calculation:
Formation energy without anion corrections = 0.016 eV per atom
SG = No. 164

---

Table of calculated total energy (eV per formula unit), in record order: -19.135 -28.394 -95.114 -28.768 -31.720 -13.813 -14.463 -5.499 -62.476 -24.636 -36.305 -17.132 -21.012 -23.873 -18.136 -36.766 -42.283 -35.663 -15.708 -18.654 -47.757 -18.075 -57.690 -16.555 -33.799
Table of total magnetic moment (μB/cell), in record order: 2.48 0.00 0.00 7.86 7.17 5.92 3.04 0.77 0.00 0.00 0.00 0.00 0.00 0.00 0.00 0.00 19.43 0.00 0.00 1.98 0.00 0.00 0.05 0.00 0.00